Rb3MgO meta-GGA SCAN PBEsol geometry; total moment = 0.00 μB/cell; formation energy (no corrections) = -0.414 eV per atom; D(E_F) = 2.9 states/eV/cell
1.0
5.6944 0.0000 0.0000
0.0000 5.6944 0.0000
0.0000 0.0000 5.6944
Mg O Rb
1 1 3
direct
0.5000 0.5000 0.5000
0.0000 0.0000 0.0000
0.0000 0.5000 0.0000
0.0000 0.0000 0.5000
0.5000 0.0000 0.0000